(1)
Density functional theory data (PBE) for crystalline PrHo2Sn3PdPt2 at its relaxed geometry.

Output
VASP energy: -5.8297 eV per atom
Calculated volume: 201.2 Å³/f.u.

The structure in extended XYZ format:
```
9
Lattice="-0.4832 1.9146 -3.5468 -5.4125 -4.9464 -1.9327 -1.7672 6.3856 3.6877" Properties=species:S:1:pos:R:3 pbc="T T T"
Pt -4.4420 -0.2722 -1.8649
Pr -4.2219 0.8463 1.0320
Ho -3.9782 4.3596 2.8953
Pd -0.0423 0.0085 0.0103
Sn -1.5713 5.7058 0.9710
Sn -2.0696 1.3237 -1.3266
Pt -3.1900 3.6198 0.0655
Sn -4.2802 -2.7152 -3.2056
Ho -6.1312 -2.3332 -0.4242
```

(2)
Density functional theory data (PBE) for crystalline PrHoSn2Pd4 at its relaxed geometry.

Output
VASP energy: -5.6160 eV per atom
Calculated volume: 167.8 Å³/f.u.

The structure in extended XYZ format:
```
8
Lattice="-3.9485 -1.3980 -1.9376 3.8353 -2.5172 -0.5031 -2.0586 -4.6448 7.5463" Properties=species:S:1:pos:R:3 pbc="T T T"
Pr 0.2114 -4.4666 2.7918
Pd 0.9101 -2.8900 0.2305
Pd -0.6722 -1.5167 2.4641
Sn -2.9169 -5.2979 4.2704
Pd -1.3864 -3.1281 5.0822
Ho 0.0000 0.0000 0.0000
Sn -1.8494 -2.8891 0.3570
Pd -0.4873 -6.0431 5.3532
```

(3)
Density functional theory data (PBE) for crystalline Pr4Ho2Te2Pd at its relaxed geometry.

Output
VASP energy: -5.2628 eV per atom
Calculated volume: 261.9 Å³/f.u.

The structure in extended XYZ format:
```
9
Lattice="4.0658 0.0000 0.0000 0.0000 7.5032 4.2919 0.0000 -7.5032 4.2919" Properties=species:S:1:pos:R:3 pbc="T T T"
Pr 2.0329 0.0000 2.1192
Ho 2.0329 -5.6878 3.2551
Pd 0.0000 0.0000 8.4546
Pr 0.0000 -3.0606 1.7628
Pr 0.0000 3.0606 1.7628
Te 2.0329 -2.5383 4.3181
Ho 2.0329 5.6878 3.2551
Pr 0.0000 0.0000 5.0897
Te 2.0329 2.5383 4.3181
```

(4)
Density functional theory data (PBE) for crystalline Pr3Ho3Te2Pd at its relaxed geometry.

Output
VASP energy: -5.2539 eV per atom
Energy above the most stable polymorph in this dataset: 0.000 eV per atom
Calculated volume: 257.4 Å³/f.u.

The structure in extended XYZ format:
```
9
Lattice="8.5455 0.0000 0.0000 -4.2727 7.4006 0.0000 0.0000 0.0000 4.0698" Properties=species:S:1:pos:R:3 pbc="T T T"
Te 0.0000 4.9337 2.0349
Ho 6.4867 0.0000 2.0349
Ho -3.2434 5.6177 2.0349
Te 4.2727 2.4669 2.0349
Ho 1.0294 1.7829 2.0349
Pr 2.5368 4.3939 0.0000
Pr -1.7359 3.0067 0.0000
Pr 3.4718 0.0000 0.0000
Pd 0.0000 0.0000 0.0000
```

(5)
Density functional theory data (PBE) for crystalline Pr3Ho3Te2Pd at its relaxed geometry.

Output
VASP energy: -5.2540 eV per atom
Energy above the most stable polymorph in this dataset: 0.000 eV per atom
Calculated volume: 257.8 Å³/f.u.

The structure in extended XYZ format:
```
9
Lattice="-1.1394 -3.8815 0.5469 6.6635 -1.2237 5.1978 -7.4684 2.6415 3.1879" Properties=species:S:1:pos:R:3 pbc="T T T"
Ho -0.7635 -1.5994 2.2923
Pr -0.4776 0.8413 4.9759
Ho -6.2370 0.0637 2.6926
Te 1.3820 -1.8758 4.8005
Pd -0.0007 0.0011 0.0068
Pr -3.0354 1.0736 1.2957
Te -3.3261 -0.5881 4.1309
Ho 4.4869 -2.8693 4.2178
Pr 2.7083 -0.4973 2.1126
```

(6)
Density functional theory data (PBE) for crystalline Pr3Ho3Te2Pd at its relaxed geometry.

Output
VASP energy: -5.1202 eV per atom
Energy above the most stable polymorph in this dataset: 0.134 eV per atom
Calculated volume: 257.8 Å³/f.u.

The structure in extended XYZ format:
```
9
Lattice="8.6922 0.0000 0.0000 -4.3461 7.5277 0.0000 0.0000 0.0000 3.9403" Properties=species:S:1:pos:R:3 pbc="T T T"
Pr 6.4984 0.0000 1.9702
Pr 1.0969 1.8999 1.9702
Ho 3.5399 0.0000 0.0000
Te 0.0000 5.0184 1.9702
Ho -1.7699 3.0656 0.0000
Te 4.3461 2.5092 1.9702
Ho 2.5762 4.4621 0.0000
Pr -3.2492 5.6278 1.9702
Pd 0.0000 0.0000 0.0000
```

(7)
Density functional theory data (PBE) for crystalline Ho2Pd5Pt at its relaxed geometry.

Output
Formation energy: -932 meV/atom
VASP energy: -6.0678 eV per atom
Calculated volume: 138.0 Å³/f.u.

The structure in extended XYZ format:
```
16
Lattice="5.7939 0.0000 0.0000 0.0000 11.5932 0.0000 0.0000 0.0000 4.1102" Properties=species:S:1:pos:R:3 pbc="T T T"
Pd 2.8970 0.0000 0.0000
Pd 4.3323 4.3490 2.0551
Ho 4.3492 7.2414 2.0551
Pt 0.0000 0.0000 0.0000
Pd 0.0140 8.6978 0.0000
Ho 1.4447 4.3518 2.0551
Pd 2.8830 2.9012 0.0000
Pt 2.8970 5.7966 0.0000
Pd 5.7800 2.8954 0.0000
Pd 4.3586 10.1456 2.0551
Pd 0.0000 5.7966 0.0000
Pd 1.4354 1.4476 2.0551
Pd 2.9110 8.6920 0.0000
Pd 1.4616 7.2442 2.0551
Ho 1.4523 10.1484 2.0551
Ho 4.3417 1.4448 2.0551
```

(8)
Density functional theory data (PBE) for crystalline HoPdPt at its relaxed geometry.

Output
Formation energy: -548 meV/atom
VASP energy: -5.8175 eV per atom
Energy above the most stable polymorph in this dataset: 0.205 eV per atom
Calculated volume: 66.8 Å³/f.u.

The structure in extended XYZ format:
```
3
Lattice="2.2777 1.3150 3.7194 -2.2777 1.3150 3.7194 0.0000 -2.6300 3.7194" Properties=species:S:1:pos:R:3 pbc="T T T"
Pd 0.0000 0.0000 8.3687
Ho 0.0000 0.0000 0.0000
Pt 0.0000 0.0000 2.7896
```

(9)
Density functional theory data (PBE) for crystalline HoPdPt at its relaxed geometry.

Output
Formation energy: -753 meV/atom
VASP energy: -6.0225 eV per atom
Energy above the most stable polymorph in this dataset: 0.000 eV per atom
Calculated volume: 66.9 Å³/f.u.

The structure in extended XYZ format:
```
3
Lattice="-2.4086 -3.8622 0.2077 -4.5460 0.1323 -0.2793 -2.1007 -1.5779 -3.7227" Properties=species:S:1:pos:R:3 pbc="T T T"
Ho -2.2638 -1.3270 -0.9486
Pt 0.0000 0.0000 0.0000
Pd -6.7914 -3.9809 -2.8457
```

(10)
Density functional theory data (PBE) for crystalline Ho2Sn2PdPt3 at its relaxed geometry.

Output
VASP energy: -6.0553 eV per atom
Calculated volume: 162.9 Å³/f.u.

The structure in extended XYZ format:
```
8
Lattice="4.5620 0.0000 0.0000 -2.2810 3.9508 0.0000 0.0000 0.0000 9.0411" Properties=species:S:1:pos:R:3 pbc="T T T"
Pt 0.0000 0.0000 5.3469
Sn 0.0000 2.6338 4.5303
Sn 0.0000 2.6338 0.0231
Pd 0.0000 0.0000 8.2500
Ho 2.2810 1.3169 6.7492
Ho 0.0000 0.0000 2.2652
Pt 2.2810 1.3169 3.7044
Pt 2.2810 1.3169 0.7747
```

(11)
Density functional theory data (PBE) for crystalline Ho2Sn2Pd3Pt at its relaxed geometry.

Output
VASP energy: -5.7723 eV per atom
Calculated volume: 162.1 Å³/f.u.

The structure in extended XYZ format:
```
8
Lattice="-3.3282 -2.6858 1.6075 3.9630 0.3223 2.2506 -3.2555 6.8756 4.7478" Properties=species:S:1:pos:R:3 pbc="T T T"
Pd -1.3503 2.8519 1.9693
Ho -2.4440 5.1618 3.5644
Sn -0.9032 -1.6718 1.8297
Pt -0.2850 0.6019 0.4156
Ho 0.7277 1.0194 3.2101
Pd -0.3730 3.3442 4.8153
Sn -2.5316 1.7674 4.2046
Pd -1.4327 5.5823 6.3608
```

(12)
Density functional theory data (PBE) for crystalline HoTm2Sn3Pd2Pt at its relaxed geometry.

Output
VASP energy: -5.6338 eV per atom
Calculated volume: 193.2 Å³/f.u.

The structure in extended XYZ format:
```
9
Lattice="-0.3484 -1.8217 3.4393 0.2515 -6.6871 -3.5164 6.3837 3.2748 2.3811" Properties=species:S:1:pos:R:3 pbc="T T T"
Pt 6.6267 -3.4079 -1.1338
Pd 4.1759 -0.9474 2.1409
Tm 3.8362 1.9679 1.4309
Pd 2.1181 -4.2903 0.1619
Sn 6.2747 0.6040 3.1752
Sn 1.7569 -6.7352 -1.1697
Tm 0.1511 -4.0185 -2.1131
Sn 4.7125 -3.4239 0.8835
Ho 2.6524 -1.3640 -0.4538
```

(13)
Density functional theory data (PBE) for crystalline Ho2TmSn3Pd2Pt at its relaxed geometry.

Output
VASP energy: -5.6499 eV per atom
Calculated volume: 194.7 Å³/f.u.

The structure in extended XYZ format:
```
9
Lattice="-1.3300 -2.9149 -2.3360 3.1589 -5.0909 4.5540 -7.0770 2.2475 1.2248" Properties=species:S:1:pos:R:3 pbc="T T T"
Sn 0.1619 -2.7918 0.0262
Pt -0.0052 -0.0038 0.0076
Ho -4.2402 1.3466 0.7339
Pd -0.9275 -4.0925 2.2694
Sn -2.5199 -0.8692 -0.8461
Sn -3.5577 -3.5568 3.0985
Ho 1.8927 -3.0502 2.7286
Tm -1.5675 -1.1376 2.3120
Pd -4.3164 -1.6629 1.1672
```

(14)
Density functional theory data (PBE) for crystalline RbHoPdS3 at its relaxed geometry.

Output
VASP energy: -5.0704 eV per atom
Energy above the most stable polymorph in this dataset: 0.000 eV per atom
Calculated volume: 163.6 Å³/f.u.

The structure in extended XYZ format:
```
12
Lattice="8.8454 0.0000 0.0000 0.0000 4.0610 0.0000 -3.1301 0.0000 9.1067" Properties=species:S:1:pos:R:3 pbc="T T T"
S 2.0949 3.0458 7.7279
S 0.1002 1.0152 4.9877
S 7.3186 1.0152 1.3595
Rb 1.0979 3.0458 2.1316
Rb 4.6174 1.0152 6.9751
Pd 6.7276 1.0152 3.7855
S 5.6151 3.0458 4.1190
Ho 0.2339 1.0152 7.8173
Pd -1.0123 3.0458 5.3212
S 3.6204 1.0152 1.3789
S -1.6034 3.0458 7.7473
Ho 5.4813 3.0458 1.2894
```

(15)
Density functional theory data (PBE) for crystalline RbHoPdS3 at its relaxed geometry.

Output
VASP energy: -5.0495 eV per atom
Energy above the most stable polymorph in this dataset: 0.021 eV per atom
Calculated volume: 155.4 Å³/f.u.

The structure in extended XYZ format:
```
12
Lattice="2.0305 -7.7746 0.0000 2.0305 7.7746 0.0000 0.0000 0.0000 9.8461" Properties=species:S:1:pos:R:3 pbc="T T T"
S 2.0305 1.7084 9.1282
Ho 0.0000 0.0000 4.9231
S 2.0305 -1.7084 4.2051
Rb 2.0305 3.9515 2.4615
Rb 2.0305 -3.9515 7.3846
S 2.0305 6.4852 7.3846
S 2.0305 -1.7084 0.7179
Ho 0.0000 0.0000 0.0000
Pd 2.0305 0.0919 7.3846
S 2.0305 1.7084 5.6410
Pd 2.0305 -0.0919 2.4615
S 2.0305 -6.4852 2.4615
```

(16)
Density functional theory data (PBE) for crystalline RbHoPdSe3 at its relaxed geometry.

Output
VASP energy: -4.6868 eV per atom
Energy above the most stable polymorph in this dataset: 0.003 eV per atom
Calculated volume: 176.4 Å³/f.u.

The structure in extended XYZ format:
```
12
Lattice="9.1637 0.0000 0.0000 0.0000 4.1551 0.0000 -3.6049 0.0000 9.2668" Properties=species:S:1:pos:R:3 pbc="T T T"
Ho 3.9121 3.1164 5.9358
Pd 0.4861 3.1164 0.8349
Ho 1.6467 1.0388 3.3309
Se 3.7782 3.1164 8.8844
Se 5.8637 1.0388 5.9517
Se 3.6389 3.1164 3.1473
Se 1.9199 1.0388 6.1195
Rb 6.2389 1.0388 2.3692
Pd 5.0726 1.0388 8.4319
Se 1.7806 1.0388 0.3824
Se -0.3050 3.1164 3.3151
Rb -0.6802 3.1164 6.8976
```

(17)
Density functional theory data (PBE) for crystalline RbHoPdSe3 at its relaxed geometry.

Output
VASP energy: -4.6899 eV per atom
Energy above the most stable polymorph in this dataset: 0.000 eV per atom
Calculated volume: 172.1 Å³/f.u.

The structure in extended XYZ format:
```
12
Lattice="2.1080 -8.2923 0.0000 2.1080 8.2923 0.0000 0.0000 0.0000 9.8443" Properties=species:S:1:pos:R:3 pbc="T T T"
Se 2.1080 -1.8228 9.0968
Rb 2.1080 -4.2476 2.4611
Ho 0.0000 0.0000 4.9222
Se 2.1080 6.7809 2.4611
Rb 2.1080 4.2476 7.3832
Se 2.1080 1.8228 4.1746
Pd 2.1080 -0.0125 7.3832
Ho 0.0000 0.0000 0.0000
Pd 2.1080 0.0125 2.4611
Se 2.1080 1.8228 0.7476
Se 2.1080 -1.8228 5.6697
Se 2.1080 -6.7809 7.3832
```

(18)
Density functional theory data (PBE) for crystalline RbHoTe3Pd at its relaxed geometry.

Output
VASP energy: -4.3299 eV per atom
Calculated volume: 201.5 Å³/f.u.

The structure in extended XYZ format:
```
12
Lattice="-6.2062 6.8221 -1.0147 3.4487 -8.3539 -2.0993 -5.7612 -4.1767 7.1562" Properties=species:S:1:pos:R:3 pbc="T T T"
Te -5.5891 -6.2648 4.8763
Te -2.9296 0.5564 -0.8341
Te -6.7249 4.3293 0.6708
Te -4.8389 -0.8278 1.5375
Pd -5.7485 -3.8217 3.8156
Ho 0.0000 0.0000 0.0000
Te -3.6798 -4.8806 2.5046
Rb -0.3639 -5.6693 -0.0438
Ho -2.8806 -2.0883 3.5781
Rb -8.1549 -0.0392 4.0860
Te -1.7938 -10.0378 3.3713
Pd -2.7703 -1.8868 0.2265
```

(19)
Density functional theory data (PBE) for crystalline Ho7Pd2S2 at its relaxed geometry.

Output
VASP energy: -5.6116 eV per atom
Calculated volume: 264.9 Å³/f.u.

The structure in extended XYZ format:
```
11
Lattice="-1.9115 7.5041 4.6170 1.9115 -7.5041 4.6170 1.9115 7.5041 -4.6170" Properties=species:S:1:pos:R:3 pbc="T T T"
Ho 1.9115 1.7376 -0.7577
Pd 1.9115 -3.5945 3.9397
Ho 0.0000 2.7183 5.8024
Ho 1.9115 5.5480 -2.2330
Pd 1.9115 3.5945 3.9397
S 0.0000 0.0000 7.0567
Ho 0.0000 7.5041 0.1717
Ho 0.0000 5.7666 3.8593
S 1.9115 0.0000 1.5538
Ho 0.0000 1.9561 2.3840
Ho 1.9115 4.7859 1.1855
```

(20)
Density functional theory data (PBE) for crystalline HoPd3S4 at its relaxed geometry.

Output
VASP energy: -5.4575 eV per atom
Calculated volume: 149.8 Å³/f.u.

The structure in extended XYZ format:
```
16
Lattice="6.6913 0.0000 0.0000 0.0000 6.6913 0.0000 0.0000 0.0000 6.6913" Properties=species:S:1:pos:R:3 pbc="T T T"
S 1.6728 1.6728 1.6728
Pd 3.3456 0.0000 5.0185
S 1.6728 1.6728 5.0185
Pd 1.6728 3.3456 0.0000
S 1.6728 5.0185 1.6728
Pd 0.0000 1.6728 3.3456
S 5.0185 5.0185 5.0185
Pd 3.3456 0.0000 1.6728
Ho 3.3456 3.3456 3.3456
Pd 0.0000 5.0185 3.3456
Ho 0.0000 0.0000 0.0000
S 5.0185 5.0185 1.6728
S 5.0185 1.6728 5.0185
S 5.0185 1.6728 1.6728
S 1.6728 5.0185 5.0185
Pd 5.0185 3.3456 0.0000
```

(21)
Density functional theory data (PBE) for crystalline HoTlPdS3 at its relaxed geometry.

Output
VASP energy: -5.0294 eV per atom
Energy above the most stable polymorph in this dataset: 0.000 eV per atom
Calculated volume: 151.8 Å³/f.u.

The structure in extended XYZ format:
```
12
Lattice="8.0081 0.0000 0.0000 0.0000 3.9881 0.0000 -3.3022 0.0000 9.5079" Properties=species:S:1:pos:R:3 pbc="T T T"
Ho 5.2709 0.9970 3.4205
Pd 0.2903 0.9970 8.6499
S 1.2547 0.9970 6.3517
S 5.5291 0.9970 6.0798
Tl 3.5403 2.9911 7.4443
S -0.9186 2.9911 8.9040
Pd 4.4156 2.9911 0.8579
S -0.8232 2.9911 3.4281
Ho -0.5650 2.9911 6.0874
S 5.6245 0.9970 0.6039
S 3.4512 2.9911 3.1562
Tl 1.1657 0.9970 2.0636
```

(22)
Density functional theory data (PBE) for crystalline HoTlPdS3 at its relaxed geometry.

Output
VASP energy: -5.0213 eV per atom
Energy above the most stable polymorph in this dataset: 0.008 eV per atom
Calculated volume: 144.3 Å³/f.u.

The structure in extended XYZ format:
```
12
Lattice="-6.8597 0.7700 -2.9549 4.4037 -1.3580 5.9282 0.1991 9.9769 2.1376" Properties=species:S:1:pos:R:3 pbc="T T T"
Ho 0.0000 0.0000 0.0000
Ho 0.0995 4.9885 1.0688
S -2.4367 9.2729 2.3803
S 0.2525 3.7576 3.5108
S -5.8312 8.0866 -0.6583
S 0.1798 0.1160 2.7306
Pd -0.9950 2.1656 2.1655
S 3.5743 1.3023 5.7692
S -2.5094 5.6313 1.6000
Tl 1.7932 6.6461 5.3548
Tl -4.0501 2.7428 -0.2440
Pd -1.2619 7.2233 2.9453
```